(1)
Crystalline ZnInSbTe2 at its relaxed geometry. Source: the Alexandria database, functional PBE.

Unit cell a=5.5864 b=5.5864 c=5.2181 alpha=90.00 beta=90.00 gamma=90.00
Closest atoms and distances in Å follow each position.
Element x y z (fractional)
Zn (0.0000, 0.0000, 0.0000)  2 Sb 2.61, 4 Te 2.79
Te (0.5000, 0.0000, 0.0000)  2 Zn 2.79
Te (0.0000, 0.5000, 0.0000)  2 Zn 2.79
Sb (0.0000, 0.0000, 0.5000)  2 Zn 2.61
In (0.5000, 0.5000, 0.5000)  8 Te 3.82, 4 Sb 3.95

Formation energy from raw total energies   279 meV per atom
Density   5.7 g/cm³
Polymorph energy (0 for the lowest one)   0 meV per atom
Crystal system   tetragonal

(2)
Crystalline SmYCo17 at its relaxed geometry. Source: the Alexandria database, functional PBE.

Unit cell a=6.2791 b=6.2791 c=6.2791 alpha=83.07 beta=83.07 gamma=83.07
Closest atoms and distances in Å follow each position.
Element x y z (fractional)
Co (0.8504, 0.3451, 0.3451)  9 Co 2.40-2.59
Co (0.9035, 0.9035, 0.9035)  7 Co 2.33-2.58
Co (0.9995, 0.2874, 0.7126)  8 Co 2.37-2.57
Co (0.0960, 0.0960, 0.0960)  7 Co 2.33-2.59
Co (0.3451, 0.8504, 0.3451)  9 Co 2.40-2.59
Co (0.2874, 0.7126, 0.9995)  8 Co 2.37-2.57
Co (0.2874, 0.9995, 0.7126)  8 Co 2.37-2.57
Co (0.9992, 0.5002, 0.9992)  10 Co 2.37-2.55
Co (0.7126, 0.9995, 0.2874)  8 Co 2.37-2.57
Co (0.3451, 0.3451, 0.8504)  9 Co 2.40-2.59
Co (0.9995, 0.7126, 0.2874)  8 Co 2.37-2.57
Co (0.5002, 0.9992, 0.9992)  10 Co 2.37-2.55
Co (0.9992, 0.9992, 0.5002)  10 Co 2.37-2.55
Co (0.7126, 0.2874, 0.9995)  8 Co 2.37-2.57
Co (0.6557, 0.6557, 0.1499)  9 Co 2.39-2.58
Co (0.1499, 0.6557, 0.6557)  9 Co 2.39-2.58
Co (0.6557, 0.1499, 0.6557)  9 Co 2.39-2.58
Sm (0.3449, 0.3449, 0.3449)  19 Co 2.98-3.24
Y (0.6561, 0.6561, 0.6561)  19 Co 2.98-3.22

Density   8.5 g/cm³
Total energy   -133.60 eV/f.u.
Crystal system   trigonal

(3)
Crystalline HoAgSn2Te4 at its relaxed geometry. Source: the Alexandria database, functional PBE.

Unit cell a=4.4278 b=7.6590 c=7.7908 alpha=109.76 beta=90.00 gamma=90.00
Closest atoms and distances in Å follow each position.
Element x y z (fractional)
Sn (0.5000, 0.0000, 0.5000)  6 Te 3.19-3.23
Sn (0.0000, 0.5000, 0.5000)  6 Te 3.18-3.22
Te (0.5000, 0.2431, 0.2327)  2 Ag 3.06, 1 Ho 3.09, 3 Sn 3.22-3.23
Te (0.0000, 0.2567, 0.7592)  2 Ho 3.09, 1 Ag 3.14, 3 Sn 3.18-3.19
Te (0.0000, 0.7433, 0.2408)  2 Ho 3.09, 1 Ag 3.14, 3 Sn 3.18-3.19
Te (0.5000, 0.7569, 0.7673)  2 Ag 3.06, 1 Ho 3.09, 3 Sn 3.22-3.23
Ho (0.5000, 0.5000, 0.0000)  6 Te 3.09
Ag (0.0000, 0.0000, 0.0000)  6 Te 3.06-3.14

Formation energy from raw total energies   -526 meV per atom
Density   6.8 g/cm³
Crystal system   monoclinic

(4)
Crystalline NaBiHPb2 at its relaxed geometry. Source: the Alexandria database, functional PBE.

Unit cell a=5.1416 b=5.1416 c=4.7153 alpha=90.00 beta=90.00 gamma=90.00
Closest atoms and distances in Å follow each position.
Element x y z (fractional)
Na (0.0000, 0.0000, 0.5000)  2 H 2.36
Pb (0.5000, 0.0000, 0.0000)  2 H 2.57
Pb (0.0000, 0.5000, 0.0000)  2 H 2.57
Bi (0.5000, 0.5000, 0.5000)  8 Pb 3.49, 4 Na 3.64
H (0.0000, 0.0000, 0.0000)  2 Na 2.36, 4 Pb 2.57

Density   8.6 g/cm³
Polymorph energy (0 for the lowest one)   0 meV per atom
Crystal system   tetragonal

(5)
Crystalline Tb5DyHo7 at its relaxed geometry. Source: the Alexandria database, functional PBE.

Unit cell a=6.6424 b=8.6329 c=8.6329 alpha=79.65 beta=67.37 gamma=67.37
Closest atoms and distances in Å follow each position.
Element x y z (fractional)
Tb (0.4620, 0.5424, 0.9961)  2 Tb 3.07-3.08, 3 Ho 3.39-3.44
Tb (0.9995, 0.5424, 0.9961)  2 Tb 3.07-3.08, 3 Ho 3.39-3.44
Tb (0.7316, 0.7684, 0.7684)  4 Tb 3.08, 4 Ho 3.43-3.44
Tb (0.9995, 0.9961, 0.5424)  2 Tb 3.07-3.08, 3 Ho 3.39-3.44
Tb (0.4620, 0.9961, 0.5424)  2 Tb 3.07-3.08, 3 Ho 3.39-3.44
Ho (0.9818, 0.3487, 0.6876)  5 Tb 3.43-3.45, 4 Ho 3.43-3.76, 1 Dy 3.71
Ho (0.7291, 0.2709, 0.2709)  3 Ho 3.32-3.50, 4 Tb 3.51, 1 Dy 3.51
Ho (0.4806, 0.8492, 0.1896)  5 Ho 3.42-3.76, 5 Tb 3.44-3.45
Ho (0.4242, 0.5758, 0.5758)  7 Ho 3.50-3.87, 4 Tb 3.69
Ho (0.4806, 0.1896, 0.8492)  5 Ho 3.42-3.76, 5 Tb 3.44-3.45
Ho (0.9818, 0.6876, 0.3487)  5 Tb 3.43-3.45, 4 Ho 3.43-3.76, 1 Dy 3.71
Ho (0.2321, 0.2679, 0.2679)  6 Ho 3.32-3.43, 4 Tb 3.39
Dy (0.0351, 0.9649, 0.9649)  7 Ho 3.51-3.87, 4 Tb 3.70

Density   8.3 g/cm³
Polymorph energy (0 for the lowest one)   3 meV per atom
Crystal system   orthorhombic

(6)
Crystalline ScReW2 at its relaxed geometry. Source: the Alexandria database, functional PBE.

Unit cell a=3.1714 b=3.1714 c=6.6837 alpha=90.00 beta=90.00 gamma=90.00
Closest atoms and distances in Å follow each position.
Element x y z (fractional)
Sc (0.5000, 0.5000, 0.7468)  4 Re 2.87, 4 W 2.89, 4 Sc 3.17
W (0.0000, 0.0000, 0.0187)  4 W 2.74, 4 Sc 2.89
W (0.5000, 0.5000, 0.2549)  4 Re 2.70, 4 W 2.74
Re (0.0000, 0.0000, 0.4796)  4 W 2.70, 4 Sc 2.87

Density   14.8 g/cm³
Polymorph energy (0 for the lowest one)   84 meV per atom
Crystal system   tetragonal

(7)
Crystalline Ge4Ir2Ru at its relaxed geometry. Source: the Alexandria database, functional PBE.

Unit cell a=2.9897 b=11.4636 c=13.5403 alpha=90.00 beta=90.00 gamma=90.00
Closest atoms and distances in Å follow each position.
Element x y z (fractional)
Ge (0.2500, 0.6399, 0.9237)  2 Ru 2.50, 3 Ir 2.55-2.56
Ge (0.2500, 0.0488, 0.2871)  3 Ir 2.41-2.48, 1 Ru 2.57
Ge (0.7500, 0.5978, 0.4500)  3 Ir 2.54-2.61, 2 Ru 2.56
Ge (0.2500, 0.1399, 0.5763)  2 Ru 2.50, 3 Ir 2.55-2.56
Ge (0.2500, 0.9022, 0.9500)  3 Ir 2.54-2.61, 2 Ru 2.56
Ge (0.2500, 0.7335, 0.6738)  3 Ir 2.54-2.55, 2 Ru 2.71
Ge (0.2500, 0.5488, 0.2129)  3 Ir 2.41-2.48, 1 Ru 2.57
Ge (0.7500, 0.2665, 0.3262)  3 Ir 2.54-2.55, 2 Ru 2.71
Ge (0.2500, 0.2335, 0.8262)  3 Ir 2.54-2.55, 2 Ru 2.71
Ge (0.7500, 0.7665, 0.1738)  3 Ir 2.54-2.55, 2 Ru 2.71
Ge (0.7500, 0.9512, 0.7129)  3 Ir 2.41-2.48, 1 Ru 2.57
Ge (0.7500, 0.8601, 0.4237)  2 Ru 2.50, 3 Ir 2.55-2.56
Ge (0.2500, 0.4022, 0.5500)  3 Ir 2.54-2.61, 2 Ru 2.56
Ge (0.7500, 0.3601, 0.0763)  2 Ru 2.50, 3 Ir 2.55-2.56
Ge (0.7500, 0.4512, 0.7871)  3 Ir 2.41-2.48, 1 Ru 2.57
Ge (0.7500, 0.0978, 0.0500)  3 Ir 2.54-2.61, 2 Ru 2.56
Ru (0.2500, 0.2195, 0.1637)  7 Ge 2.50-2.71
Ru (0.2500, 0.7195, 0.3363)  7 Ge 2.50-2.71
Ru (0.7500, 0.2805, 0.6637)  7 Ge 2.50-2.71
Ru (0.7500, 0.7805, 0.8363)  7 Ge 2.50-2.71
Ir (0.7500, 0.5821, 0.0696)  6 Ge 2.48-2.56
Ir (0.2500, 0.4405, 0.3652)  6 Ge 2.41-2.61
Ir (0.2500, 0.9405, 0.1348)  6 Ge 2.41-2.61
Ir (0.7500, 0.5595, 0.6348)  6 Ge 2.41-2.61
Ir (0.7500, 0.0595, 0.8652)  6 Ge 2.41-2.61
Ir (0.7500, 0.0821, 0.4304)  6 Ge 2.48-2.56
Ir (0.2500, 0.9179, 0.5696)  6 Ge 2.48-2.56
Ir (0.2500, 0.4179, 0.9304)  6 Ge 2.48-2.56

Density   11.1 g/cm³
Polymorph energy (0 for the lowest one)   54 meV per atom
Crystal system   orthorhombic

(8)
Crystalline Y5Ag at its relaxed geometry. Source: the Alexandria database, functional PBE.

Unit cell a=8.9400 b=8.9400 c=5.5132 alpha=90.00 beta=90.00 gamma=156.28
Closest atoms and distances in Å follow each position.
Element x y z (fractional)
Y (0.3464, 0.6536, 0.0000)  2 Ag 3.30, 10 Y 3.39-3.68
Y (0.2193, 0.7807, 0.5000)  12 Y 3.45-3.67
Y (0.8887, 0.1113, 0.5000)  10 Y 3.29-3.67, 2 Ag 3.41
Y (0.6642, 0.3358, 0.0000)  2 Ag 3.36, 10 Y 3.45-3.68
Y (0.5448, 0.4552, 0.5000)  8 Y 3.29-3.67, 4 Ag 3.39
Ag (0.0033, 0.9967, 0.0000)  10 Y 3.30-3.41, 2 Ag 3.67

Density   5.2 g/cm³
Polymorph energy (0 for the lowest one)   77 meV per atom
Crystal system   orthorhombic

Q: density of number 7 (Ge4Ir2Ru)?
A: 11.1 g/cm³

Q: Which value of density does entry 6 give?
A: 14.8 g/cm³